! LiNd2Sm | Alexandria via LeMat-Bulk | PBE | relaxed; values from VASP
&SYSTEM
  ibrav = 0, nat = 4, ntyp = 3
/
ATOMIC_SPECIES
Sm 150.36 Sm.upf
Li 6.94 Li.upf
Nd 144.24 Nd.upf
CELL_PARAMETERS angstrom
-2.6423 2.0193 1.2360
-2.8580 -1.5150 1.4572
3.6834 0.5324 12.0966
ATOMIC_POSITIONS crystal
Sm 0.5000 0.5000 0.5000
Li 0.0000 0.0000 0.0000
Nd 0.0884 0.0884 0.7348
Nd 0.9116 0.9116 0.2652
! Energy relative to the lowest polymorph listed for this composition, meV per atom: 108
! Magnetization, μB per formula unit: 0.00
! Energy of formation, eV per atom: 0.1690
! DOS at the Fermi energy, states/eV/cell: 5.4
! Theoretical density, Mg/m³: 5.44